No. 1
# Se | the Alexandria database | PBE-GGA | optimized geometry
# Energy above the lowest structure with this stoichiometry (meV/atom): 375
# Symmetry: No. 141
data_Se
_cell_length_a 5.750
_cell_length_b 5.750
_cell_length_c 2.743
_cell_angle_alpha 90.00
_cell_angle_beta 90.00
_cell_angle_gamma 90.00
_symmetry_space_group_name_H-M 'P 1'
_symmetry_Int_Tables_number 1
loop_
_symmetry_equiv_pos_as_xyz
'x,y,z'
loop_
_atom_site_label
_atom_site_type_symbol
_atom_site_fract_x
_atom_site_fract_y
_atom_site_fract_z
_atom_site_occupancy
Se1 Se 0.000 0.250 0.375 1
Se2 Se 0.000 0.750 0.625 1
Se3 Se 0.500 0.250 0.125 1
Se4 Se 0.500 0.750 0.875 1



No. 2
# Se | the Alexandria database | PBE-GGA | optimized geometry
# Energy above the lowest structure with this stoichiometry (meV/atom): 27
# Symmetry: No. 19
data_Se
_cell_length_a 7.109
_cell_length_b 8.363
_cell_length_c 10.813
_cell_angle_alpha 90.00
_cell_angle_beta 90.00
_cell_angle_gamma 90.00
_symmetry_space_group_name_H-M 'P 1'
_symmetry_Int_Tables_number 1
loop_
_symmetry_equiv_pos_as_xyz
'x,y,z'
loop_
_atom_site_label
_atom_site_type_symbol
_atom_site_fract_x
_atom_site_fract_y
_atom_site_fract_z
_atom_site_occupancy
Se1 Se 0.055 0.045 0.041 1
Se2 Se 0.123 0.600 0.117 1
Se3 Se 0.222 0.860 0.167 1
Se4 Se 0.235 0.517 0.920 1
Se5 Se 0.265 0.483 0.420 1
Se6 Se 0.278 0.140 0.667 1
Se7 Se 0.377 0.400 0.617 1
Se8 Se 0.445 0.955 0.541 1
Se9 Se 0.555 0.455 0.959 1
Se10 Se 0.623 0.900 0.883 1
Se11 Se 0.722 0.640 0.833 1
Se12 Se 0.735 0.983 0.080 1
Se13 Se 0.765 0.017 0.580 1
Se14 Se 0.778 0.360 0.333 1
Se15 Se 0.877 0.100 0.383 1
Se16 Se 0.945 0.545 0.459 1



No. 3
# Se | the Alexandria database | PBE-GGA | optimized geometry
# Energy above the lowest structure with this stoichiometry (meV/atom): 617
# Symmetry: No. 229
data_Se
_cell_length_a 3.438
_cell_length_b 3.438
_cell_length_c 3.438
_cell_angle_alpha 90.00
_cell_angle_beta 90.00
_cell_angle_gamma 90.00
_symmetry_space_group_name_H-M 'P 1'
_symmetry_Int_Tables_number 1
loop_
_symmetry_equiv_pos_as_xyz
'x,y,z'
loop_
_atom_site_label
_atom_site_type_symbol
_atom_site_fract_x
_atom_site_fract_y
_atom_site_fract_z
_atom_site_occupancy
Se1 Se 0.000 0.000 0.000 1
Se2 Se 0.500 0.500 0.500 1



No. 4
# Se | the Alexandria database | PBE-GGA | optimized geometry
# Energy above the lowest structure with this stoichiometry (meV/atom): 24
# Symmetry: No. 154
data_Se
_cell_length_a 8.353
_cell_length_b 8.353
_cell_length_c 4.951
_cell_angle_alpha 90.00
_cell_angle_beta 90.00
_cell_angle_gamma 120.00
_symmetry_space_group_name_H-M 'P 1'
_symmetry_Int_Tables_number 1
loop_
_symmetry_equiv_pos_as_xyz
'x,y,z'
loop_
_atom_site_label
_atom_site_type_symbol
_atom_site_fract_x
_atom_site_fract_y
_atom_site_fract_z
_atom_site_occupancy
Se1 Se 0.000 0.881 0.333 1
Se2 Se 0.119 0.119 0.000 1
Se3 Se 0.225 0.542 0.578 1
Se4 Se 0.317 0.775 0.912 1
Se5 Se 0.458 0.683 0.245 1
Se6 Se 0.542 0.225 0.422 1
Se7 Se 0.683 0.458 0.755 1
Se8 Se 0.775 0.317 0.088 1
Se9 Se 0.881 0.000 0.667 1



No. 5
# Se | the Alexandria database | PBE-GGA | optimized geometry
# Energy above the lowest structure with this stoichiometry (meV/atom): 135
# Symmetry: No. 63
data_Se
_cell_length_a 2.750
_cell_length_b 8.879
_cell_length_c 4.766
_cell_angle_alpha 90.00
_cell_angle_beta 90.00
_cell_angle_gamma 90.00
_symmetry_space_group_name_H-M 'P 1'
_symmetry_Int_Tables_number 1
loop_
_symmetry_equiv_pos_as_xyz
'x,y,z'
loop_
_atom_site_label
_atom_site_type_symbol
_atom_site_fract_x
_atom_site_fract_y
_atom_site_fract_z
_atom_site_occupancy
Se1 Se 0.000 0.054 0.250 1
Se2 Se 0.000 0.946 0.750 1
Se3 Se 0.500 0.446 0.750 1
Se4 Se 0.500 0.554 0.250 1



No. 6
# Se | the Alexandria database | PBE-GGA | optimized geometry
# Energy above the lowest structure with this stoichiometry (meV/atom): 290
# Symmetry: No. 229
data_Se
_cell_length_a 8.717
_cell_length_b 8.717
_cell_length_c 8.717
_cell_angle_alpha 90.00
_cell_angle_beta 90.00
_cell_angle_gamma 90.00
_symmetry_space_group_name_H-M 'P 1'
_symmetry_Int_Tables_number 1
loop_
_symmetry_equiv_pos_as_xyz
'x,y,z'
loop_
_atom_site_label
_atom_site_type_symbol
_atom_site_fract_x
_atom_site_fract_y
_atom_site_fract_z
_atom_site_occupancy
Se1 Se 0.175 0.175 0.175 1
Se2 Se 0.175 0.175 0.825 1
Se3 Se 0.175 0.825 0.175 1
Se4 Se 0.175 0.825 0.825 1
Se5 Se 0.325 0.325 0.325 1
Se6 Se 0.325 0.325 0.675 1
Se7 Se 0.325 0.675 0.325 1
Se8 Se 0.325 0.675 0.675 1
Se9 Se 0.675 0.325 0.325 1
Se10 Se 0.675 0.325 0.675 1
Se11 Se 0.675 0.675 0.325 1
Se12 Se 0.675 0.675 0.675 1
Se13 Se 0.825 0.175 0.175 1
Se14 Se 0.825 0.175 0.825 1
Se15 Se 0.825 0.825 0.175 1
Se16 Se 0.825 0.825 0.825 1



No. 7
# Se | the Alexandria database | PBE-GGA | optimized geometry
# Energy above the lowest structure with this stoichiometry (meV/atom): 188
# Symmetry: No. 64
data_Se
_cell_length_a 4.395
_cell_length_b 7.442
_cell_length_c 7.022
_cell_angle_alpha 90.00
_cell_angle_beta 90.00
_cell_angle_gamma 90.00
_symmetry_space_group_name_H-M 'P 1'
_symmetry_Int_Tables_number 1
loop_
_symmetry_equiv_pos_as_xyz
'x,y,z'
loop_
_atom_site_label
_atom_site_type_symbol
_atom_site_fract_x
_atom_site_fract_y
_atom_site_fract_z
_atom_site_occupancy
Se1 Se 0.000 0.119 0.099 1
Se2 Se 0.000 0.381 0.599 1
Se3 Se 0.000 0.619 0.401 1
Se4 Se 0.000 0.881 0.901 1
Se5 Se 0.500 0.119 0.401 1
Se6 Se 0.500 0.381 0.901 1
Se7 Se 0.500 0.619 0.099 1
Se8 Se 0.500 0.881 0.599 1



No. 8
# SiSe2 | the Alexandria database | PBE-GGA | optimized geometry
# Symmetry: No. 58
data_SiSe2
_cell_length_a 5.758
_cell_length_b 6.243
_cell_length_c 3.556
_cell_angle_alpha 90.00
_cell_angle_beta 90.00
_cell_angle_gamma 90.00
_symmetry_space_group_name_H-M 'P 1'
_symmetry_Int_Tables_number 1
loop_
_symmetry_equiv_pos_as_xyz
'x,y,z'
loop_
_atom_site_label
_atom_site_type_symbol
_atom_site_fract_x
_atom_site_fract_y
_atom_site_fract_z
_atom_site_occupancy
Si1 Si 0.000 0.000 0.000 1
Si2 Si 0.500 0.500 0.500 1
Se1 Se 0.240 0.146 0.500 1
Se2 Se 0.260 0.646 0.000 1
Se3 Se 0.740 0.354 0.000 1
Se4 Se 0.760 0.854 0.500 1



No. 9
# Si5Se3 | the Alexandria database | PBE-GGA | optimized geometry
# Energy above the lowest structure with this stoichiometry (meV/atom): 316
# Symmetry: No. 65
data_Si5Se3
_cell_length_a 6.482
_cell_length_b 8.514
_cell_length_c 5.183
_cell_angle_alpha 90.00
_cell_angle_beta 90.00
_cell_angle_gamma 90.00
_symmetry_space_group_name_H-M 'P 1'
_symmetry_Int_Tables_number 1
loop_
_symmetry_equiv_pos_as_xyz
'x,y,z'
loop_
_atom_site_label
_atom_site_type_symbol
_atom_site_fract_x
_atom_site_fract_y
_atom_site_fract_z
_atom_site_occupancy
Si1 Si 0.000 0.000 0.000 1
Si2 Si 0.211 0.000 0.500 1
Si3 Si 0.250 0.250 0.000 1
Si4 Si 0.250 0.750 0.000 1
Si5 Si 0.289 0.500 0.500 1
Si6 Si 0.500 0.500 0.000 1
Si7 Si 0.711 0.500 0.500 1
Si8 Si 0.750 0.250 0.000 1
Si9 Si 0.750 0.750 0.000 1
Si10 Si 0.789 0.000 0.500 1
Se1 Se 0.000 0.292 0.500 1
Se2 Se 0.000 0.500 0.000 1
Se3 Se 0.000 0.708 0.500 1
Se4 Se 0.500 0.000 0.000 1
Se5 Se 0.500 0.208 0.500 1
Se6 Se 0.500 0.792 0.500 1



No. 10
# SiSe2 | the Alexandria database | PBE-GGA | optimized geometry
# Symmetry: No. 189
data_SiSe2
_cell_length_a 7.860
_cell_length_b 7.860
_cell_length_c 3.437
_cell_angle_alpha 90.00
_cell_angle_beta 90.00
_cell_angle_gamma 120.00
_symmetry_space_group_name_H-M 'P 1'
_symmetry_Int_Tables_number 1
loop_
_symmetry_equiv_pos_as_xyz
'x,y,z'
loop_
_atom_site_label
_atom_site_type_symbol
_atom_site_fract_x
_atom_site_fract_y
_atom_site_fract_z
_atom_site_occupancy
Si1 Si 0.000 0.000 0.000 1
Si2 Si 0.333 0.667 0.500 1
Si3 Si 0.667 0.333 0.500 1
Se1 Se 0.000 0.236 0.500 1
Se2 Se 0.000 0.524 0.000 1
Se3 Se 0.236 0.000 0.500 1
Se4 Se 0.476 0.476 0.000 1
Se5 Se 0.524 0.000 0.000 1
Se6 Se 0.764 0.764 0.500 1



No. 11
# SiSe2 | the Alexandria database | PBE-GGA | optimized geometry
# Symmetry: No. 194
data_SiSe2
_cell_length_a 4.905
_cell_length_b 4.905
_cell_length_c 5.512
_cell_angle_alpha 90.00
_cell_angle_beta 90.00
_cell_angle_gamma 120.00
_symmetry_space_group_name_H-M 'P 1'
_symmetry_Int_Tables_number 1
loop_
_symmetry_equiv_pos_as_xyz
'x,y,z'
loop_
_atom_site_label
_atom_site_type_symbol
_atom_site_fract_x
_atom_site_fract_y
_atom_site_fract_z
_atom_site_occupancy
Si1 Si 0.333 0.667 0.250 1
Si2 Si 0.667 0.333 0.750 1
Se1 Se 0.000 0.000 0.000 1
Se2 Se 0.000 0.000 0.500 1
Se3 Se 0.333 0.667 0.750 1
Se4 Se 0.667 0.333 0.250 1



No. 12
# Si5Se3 | the Alexandria database | PBE-GGA | optimized geometry
# Energy above the lowest structure with this stoichiometry (meV/atom): 81
# Symmetry: No. 123
data_Si5Se3
_cell_length_a 3.543
_cell_length_b 3.543
_cell_length_c 13.188
_cell_angle_alpha 90.00
_cell_angle_beta 90.00
_cell_angle_gamma 90.00
_symmetry_space_group_name_H-M 'P 1'
_symmetry_Int_Tables_number 1
loop_
_symmetry_equiv_pos_as_xyz
'x,y,z'
loop_
_atom_site_label
_atom_site_type_symbol
_atom_site_fract_x
_atom_site_fract_y
_atom_site_fract_z
_atom_site_occupancy
Si1 Si 0.000 0.000 0.000 1
Si2 Si 0.000 0.000 0.324 1
Si3 Si 0.000 0.000 0.676 1
Si4 Si 0.500 0.500 0.292 1
Si5 Si 0.500 0.500 0.708 1
Se1 Se 0.000 0.000 0.500 1
Se2 Se 0.500 0.500 0.115 1
Se3 Se 0.500 0.500 0.885 1



What did we get for energy relative to the elements, uncorrected? Answer: 36 3 60 2 13 28 18 -9 47 28 42 24 kJ/mol of atoms, in the order shown.